[1]
DFT (PBE-GGA) results for an optimized crystal structure of FeHgBr4.

Cell lengths 6.307, 6.307, 6.307 Å; angles 60.00, 60.00, 60.00 degrees
Fractional positions:
Fe1 0.750 0.750 0.750
Hg1 0.000 0.000 0.000
Br1 0.872 0.376 0.376
Br2 0.376 0.376 0.872
Br3 0.376 0.872 0.376
Br4 0.376 0.376 0.376

Output
Fermi-level density of states: 13.09 states/eV per cell
Excess energy over the best structure of this formula in the dataset: 1289 meV/atom
Symmetry: F-43m, No. 216
Total moment: 2.70 μB per formula unit
Formation energy without anion corrections: 0.86 eV per atom

---

[2]
DFT (PBE-GGA) results for an optimized crystal structure of FeHgBr4.

Cell lengths 6.250, 6.250, 11.339 Å; angles 90.00, 90.00, 90.00 degrees
Fractional positions:
Fe1 0.000 0.500 0.250
Fe2 0.500 0.000 0.750
Hg1 0.000 0.000 0.000
Hg2 0.000 0.000 0.500
Br1 0.280 0.234 0.868
Br2 0.720 0.766 0.868
Br3 0.234 0.280 0.368
Br4 0.280 0.766 0.632
Br5 0.720 0.234 0.632
Br6 0.234 0.720 0.132
Br7 0.766 0.280 0.132
Br8 0.766 0.720 0.368

Output
Fermi-level density of states: 7.94 states/eV per cell
Excess energy over the best structure of this formula in the dataset: 0 meV/atom
Symmetry: P-42c, No. 112
Total moment: 4.00 μB per formula unit
Formation energy without anion corrections: -0.43 eV per atom

---

Per-record total DFT energy (no corrections), eV/atom: -1.7161 -3.0056